TiCd2Sb after structural relaxation, computed with PBE.

a b c (Å): 6.434 6.434 6.434
angles (deg): 100.79 100.79 128.72
Element x y z (fractional)
1 Ti 0.000 0.000 0.000
2 Ti 0.750 0.250 0.500
3 Cd 0.123 0.625 0.998
4 Cd 0.375 0.373 0.498
5 Cd 0.627 0.125 0.002
6 Cd 0.875 0.877 0.502
7 Sb 0.250 0.750 0.500
8 Sb 0.500 0.500 0.000

Values from the calculation:
Formation energy from raw total energies (eV/atom): 0.180
Calculated volume (Å³ per cell): 187